# 1
Compound: LiZrNp
Source: the Open Quantum Materials Database
Functional: PBE-GGA
Structure: relaxed

```
3
Lattice="2.6292 -3.5643 1.2357 -0.0157 -1.4668 4.3580 -1.9420 -4.0303 1.0623" Properties=species:S:1:pos:R:3 pbc="T T T"
Li 0.0000 0.0000 0.0000
Np 0.1679 -2.2654 1.6640
Zr 0.5036 -6.7961 4.9919
```

* symmetry: F-43m, No. 216
* total DFT energy (no corrections): -6.64 eV/atom
* magnetization: 1.762 μB per atom

=====

# 2
Compound: TmZrNO
Source: the Open Quantum Materials Database
Functional: PBE-GGA
Structure: relaxed

```
8
Lattice="-2.5268 2.4060 -2.2098 1.7225 -1.3926 -3.4858 -5.4026 -5.9445 -0.2948" Properties=species:S:1:pos:R:3 pbc="T T T"
N -2.8503 -1.7124 -4.3943
N -3.3566 -3.2187 -1.5961
O -1.4645 1.4564 -2.5288
O 0.6602 -0.4429 -3.1668
Tm -0.7948 -0.3999 -1.4563
Tm -5.4122 -4.5312 -4.5341
Zr -4.1658 -1.5159 -2.6762
Zr -2.0411 -3.4152 -3.3142
```

* symmetry: P4/nmm, No. 129
* total DFT energy (no corrections): -8.52 eV/atom
* magnetization: 0.000 μB per atom

=====

# 3
Compound: Zr2Ga2Ir
Source: the Open Quantum Materials Database
Functional: PBE-GGA
Structure: relaxed

```
5
Lattice="2.8046 -2.8046 0.0000 2.8046 2.8046 0.0000 -2.8046 0.0000 6.0880" Properties=species:S:1:pos:R:3 pbc="T T T"
Ga 2.8047 0.0000 1.1208
Ga 0.0000 0.0000 4.9672
Ir 0.0000 0.0000 0.0000
Zr 1.4023 -1.4023 3.0440
Zr 1.4023 1.4023 3.0440
```

* symmetry: I4/mmm, No. 139
* total DFT energy (no corrections): -6.15 eV/atom
* magnetization: 0.002 μB per atom

=====

Among the records above, which one has the lowest total DFT energy (no corrections)?
TmZrNO

=====

Please write out number 2 again, unchanged.
Compound: TmZrNO
Source: the Open Quantum Materials Database
Functional: PBE-GGA
Structure: relaxed

```
8
Lattice="-2.5268 2.4060 -2.2098 1.7225 -1.3926 -3.4858 -5.4026 -5.9445 -0.2948" Properties=species:S:1:pos:R:3 pbc="T T T"
N -2.8503 -1.7124 -4.3943
N -3.3566 -3.2187 -1.5961
O -1.4645 1.4564 -2.5288
O 0.6602 -0.4429 -3.1668
Tm -0.7948 -0.3999 -1.4563
Tm -5.4122 -4.5312 -4.5341
Zr -4.1658 -1.5159 -2.6762
Zr -2.0411 -3.4152 -3.3142
```

* symmetry: P4/nmm, No. 129
* total DFT energy (no corrections): -8.52 eV/atom
* magnetization: 0.000 μB per atom